Entry 1:
A relaxed structure of Pm3Nd6Y2Sc. Source: Alexandria, functional PBE.

Geometry as POSCAR:
```
Pm3Nd6Y2Sc
1.0
3.145 -5.450 0.000
3.145 5.450 0.000
-2.093 0.000 11.730
Pm Nd Y Sc
3 6 2 1
Direct
0.000 0.000 0.000
0.333 0.667 0.000
0.667 0.333 0.000
0.089 0.419 0.255
0.252 0.252 0.745
0.419 0.089 0.255
0.581 0.911 0.745
0.748 0.748 0.255
0.911 0.581 0.745
0.167 0.833 0.500
0.833 0.167 0.500
0.500 0.500 0.500
```

Summary:
* mass density: 6.29 g cm⁻³
* SG: No. 12
* E_form: 0.025 eV/atom

---

Entry 2:
A relaxed structure of PmNd2Y5Sc. Source: Alexandria, functional PBE.

Geometry as POSCAR:
```
PmNd2Y5Sc
1.0
2.809 -10.000 0.000
2.809 10.000 0.000
0.000 0.000 10.471
Pm Nd Y Sc
2 4 10 2
Direct
0.089 0.911 0.500
0.911 0.089 0.000
0.385 0.615 0.780
0.388 0.612 0.360
0.612 0.388 0.860
0.615 0.385 0.280
0.018 0.982 0.785
0.130 0.870 0.066
0.203 0.797 0.747
0.227 0.773 0.376
0.483 0.517 0.063
0.517 0.483 0.563
0.773 0.227 0.876
0.797 0.203 0.247
0.870 0.130 0.566
0.982 0.018 0.285
0.307 0.693 0.062
0.693 0.307 0.562
```

Summary:
* mass density: 5.21 g cm⁻³
* SG: No. 36
* E_form: 0.153 eV/atom

---

Entry 3:
A relaxed structure of Pm2NdY4Sc. Source: Alexandria, functional PBE.

Geometry as POSCAR:
```
Pm2NdY4Sc
1.0
-3.403 5.898 6.588
3.403 -5.898 6.588
3.403 5.898 -6.588
Pm Nd Y Sc
4 2 8 2
Direct
0.000 0.000 0.000
0.500 0.000 0.000
0.500 0.000 0.500
0.500 0.500 0.500
0.000 0.500 0.500
0.500 0.500 0.000
0.235 0.250 0.985
0.235 0.750 0.485
0.236 0.236 0.500
0.236 0.736 0.000
0.764 0.264 0.000
0.764 0.764 0.500
0.765 0.250 0.515
0.765 0.750 0.015
0.000 0.000 0.500
0.000 0.500 0.000
```

Summary:
* mass density: 5.24 g cm⁻³
* SG: No. 74
* E_form: 0.414 eV/atom

---

Entry 4:
A relaxed structure of PmNd6YSc2. Source: Alexandria, functional PBE.

Geometry as POSCAR:
```
PmNd6YSc2
1.0
4.558 -7.565 0.000
4.558 7.565 0.000
-1.440 0.000 9.539
Pm Nd Y Sc
2 12 2 4
Direct
0.094 0.906 0.750
0.906 0.094 0.250
0.002 0.800 0.380
0.062 0.516 0.182
0.200 0.998 0.120
0.261 0.609 0.552
0.391 0.739 0.948
0.484 0.938 0.318
0.516 0.062 0.682
0.609 0.261 0.052
0.739 0.391 0.448
0.800 0.002 0.880
0.938 0.484 0.818
0.998 0.200 0.620
0.471 0.529 0.250
0.529 0.471 0.750
0.206 0.305 0.952
0.305 0.206 0.452
0.695 0.794 0.548
0.794 0.695 0.048
```

Summary:
* mass density: 6.00 g cm⁻³
* SG: No. 15
* E_form: 0.120 eV/atom

---

Entry 5:
A relaxed structure of Pm4Nd2YSc. Source: Alexandria, functional PBE.

Geometry as POSCAR:
```
Pm4Nd2YSc
1.0
5.094 0.000 0.000
0.000 5.113 0.000
-0.010 0.000 10.128
Pm Nd Y Sc
4 2 1 1
Direct
0.000 0.000 0.244
0.000 0.000 0.756
0.500 0.500 0.245
0.500 0.500 0.755
0.000 0.500 0.000
0.500 0.000 0.500
0.000 0.500 0.500
0.500 0.000 0.000
```

Summary:
* mass density: 6.31 g cm⁻³
* SG: No. 10
* E_form: 0.030 eV/atom

---

Entry 6:
A relaxed structure of Pm6Nd3Y2Sc. Source: Alexandria, functional PBE.

Geometry as POSCAR:
```
Pm6Nd3Y2Sc
1.0
3.136 -5.434 0.000
3.136 5.434 0.000
-2.089 0.000 11.747
Pm Nd Y Sc
6 3 2 1
Direct
0.081 0.410 0.244
0.248 0.248 0.756
0.410 0.081 0.244
0.590 0.919 0.756
0.752 0.752 0.244
0.919 0.590 0.756
0.167 0.833 0.500
0.500 0.500 0.500
0.833 0.167 0.500
0.333 0.667 0.000
0.667 0.333 0.000
0.000 0.000 0.000
```

Summary:
* mass density: 6.33 g cm⁻³
* SG: No. 12
* E_form: 0.027 eV/atom

---

Entry 7:
A relaxed structure of PmNdY2Sc4. Source: Alexandria, functional PBE.

Geometry as POSCAR:
```
PmNdY2Sc4
1.0
-3.290 5.690 6.353
3.290 -5.690 6.353
3.290 5.690 -6.353
Pm Nd Y Sc
2 2 4 8
Direct
0.000 0.000 0.000
0.500 0.000 0.500
0.500 0.000 0.000
0.500 0.500 0.500
0.000 0.000 0.500
0.000 0.500 0.000
0.000 0.500 0.500
0.500 0.500 0.000
0.249 0.247 0.499
0.249 0.750 0.001
0.250 0.249 0.000
0.251 0.751 0.500
0.749 0.249 0.500
0.750 0.751 0.000
0.751 0.250 0.999
0.751 0.753 0.501
```

Summary:
* mass density: 4.52 g cm⁻³
* SG: No. 74
* E_form: 0.429 eV/atom

---

Entry 8:
A relaxed structure of PmNdYSc. Source: Alexandria, functional PBE.

Geometry as POSCAR:
```
PmNdYSc
1.0
6.119 -2.855 0.000
6.119 2.855 0.000
-1.178 0.000 3.632
Pm Nd Y Sc
1 1 1 1
Direct
0.000 0.000 0.000
0.726 0.726 0.205
0.267 0.267 0.748
0.495 0.495 0.483
```

Summary:
* mass density: 5.54 g cm⁻³
* SG: No. 8
* E_form: 0.097 eV/atom

---

Entry 9:
A relaxed structure of Pm3NdYSc. Source: Alexandria, functional PBE.

Geometry as POSCAR:
```
Pm3NdYSc
1.0
7.972 0.000 0.000
0.000 5.085 0.000
-3.250 0.000 9.613
Pm Nd Y Sc
6 2 2 2
Direct
0.169 0.250 0.045
0.171 0.750 0.789
0.177 0.250 0.541
0.823 0.750 0.459
0.829 0.250 0.211
0.831 0.750 0.955
0.175 0.750 0.297
0.825 0.250 0.703
0.499 0.750 0.128
0.501 0.250 0.872
0.499 0.250 0.379
0.501 0.750 0.621
```

Summary:
* mass density: 6.08 g cm⁻³
* SG: No. 11
* E_form: 0.043 eV/atom

---

Entry 10:
A relaxed structure of Pm2Nd6Y3Sc. Source: Alexandria, functional PBE.

Geometry as POSCAR:
```
Pm2Nd6Y3Sc
1.0
3.137 -5.435 0.000
3.137 5.435 0.000
-2.091 0.000 11.710
Pm Nd Y Sc
2 6 3 1
Direct
0.167 0.833 0.000
0.833 0.167 0.000
0.088 0.418 0.751
0.253 0.253 0.249
0.418 0.088 0.751
0.582 0.912 0.249
0.747 0.747 0.751
0.912 0.582 0.249
0.000 0.000 0.500
0.334 0.666 0.500
0.666 0.334 0.500
0.500 0.500 0.000
```

Summary:
* mass density: 6.10 g cm⁻³
* SG: No. 12
* E_form: 0.022 eV/atom

---

Entry 11:
A relaxed structure of PmNdScZn. Source: Alexandria, functional PBE.

Geometry as POSCAR:
```
PmNdScZn
1.0
0.000 3.768 3.768
3.768 0.000 3.768
3.768 3.768 0.000
Pm Nd Sc Zn
1 1 1 1
Direct
0.000 0.000 0.000
0.500 0.500 0.500
0.250 0.250 0.250
0.750 0.750 0.750
```

Summary:
* mass density: 6.20 g cm⁻³
* SG: No. 216
* E_form: -0.014 eV/atom

---

Entry 12:
A relaxed structure of Pm2Nd2Se7. Source: Alexandria, functional PBE.

Geometry as POSCAR:
```
Pm2Nd2Se7
1.0
5.129 -5.328 0.000
5.129 5.328 0.000
0.000 0.000 6.375
Pm Nd Se
2 2 7
Direct
0.228 0.228 0.000
0.772 0.772 0.000
0.236 0.764 0.500
0.764 0.236 0.500
0.000 0.000 0.253
0.000 0.000 0.747
0.000 0.500 0.238
0.000 0.500 0.762
0.500 0.000 0.238
0.500 0.000 0.762
0.500 0.500 0.500
```

Summary:
* mass density: 5.39 g cm⁻³
* SG: No. 65
* formation energy without anion corrections: -1.47 eV/atom

---

Entry 13:
A relaxed structure of Pm4Nd3Se8. Source: Alexandria, functional PBE.

Geometry as POSCAR:
```
Pm4Nd3Se8
1.0
5.938 -5.939 0.000
5.938 5.939 0.000
-5.932 0.000 5.940
Pm Nd Se
4 3 8
Direct
0.000 0.000 0.000
0.000 0.000 0.500
0.000 0.500 0.000
0.500 0.000 0.000
0.000 0.500 0.500
0.500 0.000 0.500
0.500 0.500 0.500
0.249 0.751 0.500
0.251 0.251 0.504
0.251 0.251 0.998
0.252 0.748 0.000
0.748 0.252 0.000
0.749 0.749 0.002
0.749 0.749 0.496
0.751 0.249 0.500
```

Summary:
* mass density: 6.52 g cm⁻³
* SG: No. 12
* formation energy without anion corrections: -1.88 eV/atom

---

Entry 14:
A relaxed structure of Pm5Nd3Se8. Source: Alexandria, functional PBE.

Geometry as POSCAR:
```
Pm5Nd3Se8
1.0
4.210 2.430 6.880
-4.210 2.430 6.880
0.000 -4.861 6.880
Pm Nd Se
5 3 8
Direct
0.000 0.000 0.000
0.000 0.500 0.500
0.500 0.000 0.500
0.500 0.500 0.000
0.500 0.500 0.500
0.000 0.000 0.500
0.000 0.500 0.000
0.500 0.000 0.000
0.250 0.250 0.748
0.250 0.748 0.250
0.251 0.251 0.251
0.252 0.750 0.750
0.748 0.250 0.250
0.749 0.749 0.749
0.750 0.252 0.750
0.750 0.750 0.252
```

Summary:
* mass density: 7.04 g cm⁻³
* SG: No. 166
* formation energy without anion corrections: -1.83 eV/atom

---

Entry 15:
A relaxed structure of Pm3Nd2Se4. Source: Alexandria, functional PBE.

Geometry as POSCAR:
```
Pm3Nd2Se4
1.0
6.929 -2.083 0.000
6.929 2.083 0.000
-4.968 0.000 8.843
Pm Nd Se
3 2 4
Direct
0.000 0.000 0.000
0.203 0.203 0.797
0.797 0.797 0.203
0.403 0.403 0.599
0.597 0.597 0.401
0.198 0.198 0.303
0.397 0.397 0.098
0.603 0.603 0.902
0.802 0.802 0.697
```

Summary:
* mass density: 6.76 g cm⁻³
* SG: No. 12
* formation energy without anion corrections: -1.60 eV/atom

---

Entry 16:
A relaxed structure of PmNd4Se5. Source: Alexandria, functional PBE.

Geometry as POSCAR:
```
PmNd4Se5
1.0
-2.110 2.110 14.973
2.110 -2.110 14.973
2.110 2.110 -14.973
Pm Nd Se
1 4 5
Direct
0.000 0.000 0.000
0.197 0.197 0.000
0.399 0.399 0.000
0.601 0.601 0.000
0.803 0.803 0.000
0.098 0.098 0.000
0.298 0.298 0.000
0.500 0.500 0.000
0.702 0.702 0.000
0.902 0.902 0.000
```

Summary:
* mass density: 6.96 g cm⁻³
* SG: No. 139
* formation energy without anion corrections: -1.84 eV/atom

---

Entry 17:
A relaxed structure of PmNd4Se5. Source: Alexandria, functional PBE.

Geometry as POSCAR:
```
PmNd4Se5
1.0
-2.112 2.982 10.579
2.112 -2.982 10.579
2.112 2.982 -10.579
Pm Nd Se
1 4 5
Direct
0.000 0.000 0.000
0.200 0.200 0.000
0.400 0.400 0.000
0.600 0.600 0.000
0.800 0.800 0.000
0.099 0.599 0.500
0.300 0.800 0.500
0.500 0.000 0.500
0.700 0.200 0.500
0.901 0.401 0.500
```

Summary:
* mass density: 6.96 g cm⁻³
* SG: No. 71
* formation energy without anion corrections: -1.83 eV/atom

---

Entry 18:
A relaxed structure of Pm2NdSe3. Source: Alexandria, functional PBE.

Geometry as POSCAR:
```
Pm2NdSe3
1.0
4.162 0.000 0.000
-2.081 3.604 0.000
0.000 0.000 21.116
Pm Nd Se
4 2 6
Direct
0.333 0.667 0.082
0.333 0.667 0.418
0.667 0.333 0.582
0.667 0.333 0.918
0.000 0.000 0.250
0.000 0.000 0.750
0.000 0.000 0.000
0.000 0.000 0.500
0.333 0.667 0.664
0.333 0.667 0.836
0.667 0.333 0.164
0.667 0.333 0.336
```

Summary:
* mass density: 7.04 g cm⁻³
* SG: No. 194
* formation energy without anion corrections: -1.83 eV/atom

---

Entry 19:
A relaxed structure of Pm3Nd5Se8. Source: Alexandria, functional PBE.

Geometry as POSCAR:
```
Pm3Nd5Se8
1.0
4.223 2.438 6.879
-4.223 2.438 6.879
0.000 -4.876 6.879
Pm Nd Se
3 5 8
Direct
0.000 0.500 0.500
0.500 0.000 0.500
0.500 0.500 0.000
0.000 0.000 0.000
0.000 0.000 0.500
0.000 0.500 0.000
0.500 0.000 0.000
0.500 0.500 0.500
0.250 0.250 0.748
0.250 0.748 0.250
0.251 0.251 0.251
0.252 0.750 0.750
0.748 0.250 0.250
0.749 0.749 0.749
0.750 0.252 0.750
0.750 0.750 0.252
```

Summary:
* mass density: 6.99 g cm⁻³
* SG: No. 166
* formation energy without anion corrections: -1.83 eV/atom

---

Entry 20:
A relaxed structure of Pm2Nd3Se8. Source: Alexandria, functional PBE.

Geometry as POSCAR:
```
Pm2Nd3Se8
1.0
7.341 -4.263 0.000
7.341 4.263 0.000
-2.473 0.000 6.773
Pm Nd Se
2 3 8
Direct
0.240 0.240 0.158
0.760 0.760 0.842
0.237 0.763 0.500
0.500 0.500 0.000
0.763 0.237 0.500
0.122 0.122 0.410
0.139 0.611 0.084
0.381 0.381 0.570
0.389 0.861 0.916
0.611 0.139 0.084
0.619 0.619 0.430
0.861 0.389 0.916
0.878 0.878 0.590
```

Summary:
* mass density: 5.31 g cm⁻³
* SG: No. 12
* formation energy without anion corrections: -1.69 eV/atom

---

| no. | raw total energy (eV per atom) |
| --- | --- |
| 1 | -5.151 |
| 2 | -5.729 |
| 3 | -5.393 |
| 4 | -5.129 |
| 5 | -5.137 |
| 6 | -5.145 |
| 7 | -5.543 |
| 8 | -5.481 |
| 9 | -5.260 |
| 10 | -5.297 |
| 11 | -4.295 |
| 12 | -5.413 |
| 13 | -5.955 |
| 14 | -5.951 |
| 15 | -5.792 |
| 16 | -5.960 |
| 17 | -5.959 |
| 18 | -5.949 |
| 19 | -5.954 |
| 20 | -5.667 |